A relaxed CsTl2SiAu crystal, computed with PBE.

Geometry as CIF:
```
data_CsTl2SiAu
_chemical_formula_sum 'Cs1 Tl2 Si1 Au1'
_symmetry_space_group_name_H-M 'P 1'
_symmetry_Int_Tables_number 1
_cell_length_a 5.683
_cell_length_b 5.683
_cell_length_c 5.015
_cell_angle_alpha 90.00
_cell_angle_beta 90.00
_cell_angle_gamma 90.00
loop_
_symmetry_equiv_pos_as_xyz
'x,y,z'
loop_
_atom_site_label
_atom_site_type_symbol
_atom_site_fract_x
_atom_site_fract_y
_atom_site_fract_z
Si1 Si 0.000 0.000 0.000
Tl1 Tl 0.500 0.000 0.000
Au1 Au 0.000 0.000 0.500
Tl2 Tl 0.000 0.500 0.000
Cs1 Cs 0.500 0.500 0.500
```

Output
Raw total energy: -2.76 eV per atom
Uncorrected formation energy: 0.10 eV per atom
Space-group type: No. 123